Entry 1:
PaCd: optimized geometry, PBE.

Computed properties:
calculated formation energy = 56 meV/atom
space-group type = No. 187
mass density = 11.76 g/cm³
E_tot = -5.150 eV per atom
M_tot = 0.0 μB per cell
volume = 48.5 Å³/cell
crystal system = hexagonal

```
PaCd
1.0
3.124 0.000 0.000
-1.562 2.705 0.000
0.000 0.000 5.736
Pa Cd
1 1
direct
0.000 0.000 0.000
0.333 0.667 0.500
```

Entry 2:
CsRb3Mg2H8: optimized geometry, PBE.

Computed properties:
space-group type = No. 164
mass density = 2.27 g/cm³
E_tot = -2.602 eV per atom
M_tot = 0.0 μB per cell
volume = 326.4 Å³/cell
crystal system = trigonal

```
CsRb3Mg2H8
1.0
-1.210 -2.851 -5.522
-0.310 -3.294 5.398
-9.096 2.234 0.840
Cs Rb Mg H
1 3 2 8
direct
0.000 0.000 0.500
0.333 0.667 0.732
0.667 0.333 0.268
0.000 0.000 0.000
0.333 0.667 0.199
0.667 0.333 0.801
0.333 0.667 0.005
0.667 0.333 0.995
0.175 0.825 0.268
0.825 0.175 0.732
0.175 0.350 0.268
0.825 0.650 0.732
0.650 0.825 0.268
0.350 0.175 0.732
```

Entry 3:
Dy2SnHPt6: optimized geometry, PBE.

Computed properties:
space-group type = No. 12
mass density = 15.05 g/cm³
E_tot = -6.028 eV per atom
M_tot = 0.0 μB per cell
volume = 178.2 Å³/cell
crystal system = monoclinic

```
Dy2SnHPt6
1.0
-2.010 -5.222 -0.895
2.458 0.214 -6.773
3.561 -4.233 -1.237
Dy Sn H Pt
2 1 1 6
direct
0.780 0.335 0.440
0.220 0.665 0.560
0.500 0.500 0.000
0.000 0.000 0.000
0.228 0.180 0.544
0.771 0.815 0.962
0.268 0.815 0.962
0.732 0.185 0.038
0.229 0.185 0.038
0.772 0.820 0.456
```

Entry 4:
ZrPaCoRu: optimized geometry, PBE.

Computed properties:
calculated formation energy = -265 meV/atom
space-group type = No. 216
mass density = 11.02 g/cm³
E_tot = -8.872 eV per atom
M_tot = 0.0 μB per cell
volume = 72.7 Å³/cell
crystal system = cubic

```
ZrPaCoRu
1.0
-3.296 3.036 -1.364
-3.678 0.864 2.768
-0.395 4.146 2.143
Ru Pa Co Zr
1 1 1 1
direct
0.750 0.750 0.750
0.000 0.000 0.000
0.250 0.250 0.250
0.500 0.500 0.500
```

Entry 5:
CsK2BaAs: optimized geometry, PBE.

Computed properties:
calculated formation energy = -267 meV/atom
space-group type = No. 123
mass density = 2.33 g/cm³
E_tot = -2.191 eV per atom
M_tot = 0.0 μB per cell
volume = 302.0 Å³/cell
crystal system = tetragonal

```
CsK2BaAs
1.0
6.817 0.000 0.000
0.000 6.817 0.000
0.000 0.000 6.499
Cs As K Ba
1 1 2 1
direct
0.500 0.500 0.500
0.000 0.000 0.000
0.000 0.500 0.000
0.500 0.000 0.000
0.000 0.000 0.500
```

Entry 6:
SrSm2O: optimized geometry, PBE.

Computed properties:
space-group type = No. 166
mass density = 5.90 g/cm³
E_tot = -5.157 eV per atom
M_tot = 0.0 μB per cell
volume = 113.8 Å³/cell
crystal system = trigonal

```
SrSm2O
1.0
-0.854 1.796 3.113
2.178 -0.309 2.968
5.572 8.088 -0.947
Sr O Sm
1 1 2
direct
0.000 0.000 0.000
0.500 0.500 0.500
0.122 0.122 0.635
0.878 0.878 0.365
```